Record 1
Entry from the Alexandria database: crystalline LiPm2Cl2O2 at its relaxed geometry (PBE-GGA).

The structure in extended XYZ format:
```
7
Lattice="-2.5424 0.8722 -2.9230 0.8687 -3.7890 0.8111 -8.7670 -0.4035 7.5049" Properties=species:S:1:pos:R:3 pbc="T T T"
O -3.9478 -2.4046 2.7163
O -6.4928 -0.9156 2.6768
Cl -1.8650 -0.0858 1.5965
Cl -6.9020 -0.3176 5.9084
Pm -4.7130 -0.8337 1.1532
Pm -5.7276 -2.4865 4.2398
Li 0.0000 0.0000 0.0000
```

Properties
* formation energy from raw total energies: -2.518 eV per atom
* E_tot: -42.65 eV for the cell shown
* space group: P-3m1, No. 164
* size of the total moment: 0.6 Bohr magnetons per cell



Record 2
Entry from the Alexandria database: crystalline LiPr2Ta2Cl2O7 at its relaxed geometry (PBE-GGA).

The structure in extended XYZ format:
```
14
Lattice="2.0152 8.0343 -0.0176 -2.0152 8.0343 -0.0176 0.0000 2.4797 6.3889" Properties=species:S:1:pos:R:3 pbc="T T T"
O 0.0000 3.2270 5.3277
O 0.0000 17.0554 3.0634
O 0.0000 2.9038 0.2939
O 0.0000 15.1028 0.9082
O 0.0000 15.4368 5.7268
O 0.0000 9.1452 0.9920
O 0.0000 9.2401 5.1677
Cl 0.0000 12.0146 2.5557
Cl 0.0000 6.3217 3.5532
Pr 0.0000 5.2451 0.7420
Pr 0.0000 12.9297 5.3335
Ta 0.0000 1.0453 1.1082
Ta 0.0000 17.3480 4.9915
Li 0.0000 15.1209 2.8496
```

Properties
* formation energy from raw total energies: -2.754 eV per atom
* E_tot: -112.13 eV for the cell shown
* space group: Cm, No. 8
* size of the total moment: 0.0 Bohr magnetons per cell



Record 3
Entry from the Alexandria database: crystalline LiPr2Ta2Cl2O7 at its relaxed geometry (PBE-GGA).

The structure in extended XYZ format:
```
14
Lattice="2.0208 8.5125 -0.0165 -2.0208 8.5125 -0.0165 0.0000 1.9195 6.5300" Properties=species:S:1:pos:R:3 pbc="T T T"
Ta 0.0000 16.9024 1.3631
Ta 0.0000 2.1200 4.5441
O 0.0000 10.6875 4.6272
O 0.0000 1.3587 0.0287
O 0.0000 1.0108 2.9353
O 0.0000 4.1383 4.0957
O 0.0000 17.8402 5.9384
O 0.0000 8.0778 1.2873
O 0.0000 15.1039 2.2825
Pr 0.0000 12.9249 5.6287
Pr 0.0000 5.4857 2.1701
Cl 0.0000 6.7367 5.7752
Cl 0.0000 11.9335 1.7167
Li 0.0000 9.1351 5.8923
```

Properties
* formation energy from raw total energies: -2.730 eV per atom
* E_tot: -111.80 eV for the cell shown
* space group: Cm, No. 8
* size of the total moment: 0.0 Bohr magnetons per cell



Record 4
Entry from the Alexandria database: crystalline LiPr2Ta2Cl2O7 at its relaxed geometry (PBE-GGA).

The structure in extended XYZ format:
```
14
Lattice="2.0292 7.8112 0.0066 -2.0292 7.8112 0.0066 0.0000 2.9024 6.4045" Properties=species:S:1:pos:R:3 pbc="T T T"
O 0.0000 3.7468 5.4509
O 0.0000 2.9524 0.4432
O 0.0000 9.5321 5.2247
O 0.0000 14.7780 0.9667
O 0.0000 8.9927 1.1929
O 0.0000 1.4512 3.2022
O 0.0000 15.5724 5.9743
Pr 0.0000 5.2802 0.9955
Pr 0.0000 13.2446 5.4220
Ta 0.0000 1.1050 1.2292
Ta 0.0000 17.4198 5.1884
Li 0.0000 9.2624 3.2088
Cl 0.0000 6.6446 3.6068
Cl 0.0000 11.8802 2.8108
```

Properties
* formation energy from raw total energies: -2.815 eV per atom
* E_tot: -112.99 eV for the cell shown
* space group: C2/m, No. 12
* size of the total moment: 0.0 Bohr magnetons per cell



Record 5
Entry from the Alexandria database: crystalline Li2Pu2Cl2O5 at its relaxed geometry (PBE-GGA).

The structure in extended XYZ format:
```
11
Lattice="4.1779 0.0000 0.0000 0.0000 4.1779 0.0000 -2.0890 -2.0890 11.2399" Properties=species:S:1:pos:R:3 pbc="T T T"
Pu 2.0890 2.0890 9.1705
Pu 0.0000 0.0000 2.0694
O 0.0000 2.0890 8.9107
O 2.0890 0.0000 8.9107
O 2.0890 0.0000 2.3292
O 0.0000 2.0890 2.3292
O 0.0000 0.0000 0.0000
Li 2.0890 2.0890 3.7191
Li 0.0000 0.0000 7.5208
Cl 2.0890 2.0890 6.5096
Cl 0.0000 0.0000 4.7303
```

Properties
* formation energy from raw total energies: -2.283 eV per atom
* E_tot: -86.09 eV for the cell shown
* space group: I4/mmm, No. 139
* size of the total moment: 6.0 Bohr magnetons per cell



Record 6
Entry from the Alexandria database: crystalline LiSCl2O at its relaxed geometry (PBE-GGA).

The structure in extended XYZ format:
```
5
Lattice="-3.7529 1.5904 -4.2801 -4.3106 0.5931 4.0000 0.8399 3.1577 0.4369" Properties=species:S:1:pos:R:3 pbc="T T T"
S 0.4200 1.5789 0.2185
Cl -1.8764 0.7952 -2.1400
Cl -2.1553 0.2965 2.0000
O 0.0000 0.0000 0.0000
Li -3.6118 2.6706 0.0784
```

Properties
* formation energy from raw total energies: -0.161 eV per atom
* E_tot: -15.50 eV for the cell shown
* space group: P4/mmm, No. 123
* size of the total moment: 0.0 Bohr magnetons per cell



Record 7
Entry from the Alexandria database: crystalline LiSCl2O at its relaxed geometry (PBE-GGA).

The structure in extended XYZ format:
```
5
Lattice="4.7479 0.0000 0.0000 0.0000 4.7479 0.0000 0.0000 0.0000 4.9606" Properties=species:S:1:pos:R:3 pbc="T T T"
Cl 0.0000 2.3740 0.0000
Cl 2.3740 0.0000 0.0000
Li 0.0000 0.0000 2.4803
O 2.3740 2.3740 2.4803
S 0.0000 0.0000 0.0000
```

Properties
* formation energy from raw total energies: 0.149 eV per atom
* E_tot: -13.95 eV for the cell shown
* space group: P4/mmm, No. 123
* size of the total moment: 1.7 Bohr magnetons per cell



Record 8
Entry from the Alexandria database: crystalline LiSCl2O at its relaxed geometry (PBE-GGA).

The structure in extended XYZ format:
```
5
Lattice="4.6777 0.0000 0.0000 0.0000 4.6777 0.0000 0.0000 0.0000 5.0620" Properties=species:S:1:pos:R:3 pbc="T T T"
S 0.0000 0.0000 2.5310
O 2.3389 2.3389 2.5310
Cl 2.3389 0.0000 0.0000
Cl 0.0000 2.3389 0.0000
Li 0.0000 0.0000 0.0000
```

Properties
* formation energy from raw total energies: 0.546 eV per atom
* E_tot: -11.97 eV for the cell shown
* space group: P4/mmm, No. 123
* size of the total moment: 5.0 Bohr magnetons per cell